Entry 1:
A plane-wave DFT calculation with PBE was carried out for a relaxed TbLu3O crystal.

Unit cell a=4.8426 b=4.8426 c=4.8426 alpha=90.00 beta=90.00 gamma=90.00
Closest atoms and distances in Å follow each position.
Fractional coordinates of all 5 atoms:
Lu: 0.0000 0.5000 0.0000  2 O 2.42
Lu: 0.0000 0.0000 0.5000  2 O 2.42
Lu: 0.5000 0.0000 0.0000  2 O 2.42
Tb: 0.5000 0.5000 0.5000  12 Lu 3.42
O: 0.0000 0.0000 0.0000  6 Lu 2.42

Properties
total energy = -5.6982 eV/atom
space-group type = Pm-3m
ρ = 10.23 g/cm3
total magnetic moment = 0.00 Bohr magnetons per cell

Entry 2:
A plane-wave DFT calculation with PBE was carried out for a relaxed TbLu2O crystal.

Unit cell a=3.3762 b=3.3762 c=9.3852 alpha=79.64 beta=79.64 gamma=60.00
Closest atoms and distances in Å follow each position.
Fractional coordinates of all 4 atoms:
Lu: 0.1195 0.1195 0.6415  3 O 2.34
Lu: 0.8805 0.8805 0.3585  3 O 2.34
Tb: 0.0000 0.0000 0.0000  2 Lu 3.29, 6 Tb 3.38
O: 0.5000 0.5000 0.5000  6 Lu 2.34

Properties
total energy = -5.8453 eV/atom
space-group type = R-3m
ρ = 9.62 g/cm3
energy above the most stable polymorph in this dataset = 0 meV/atom
total magnetic moment = 0.00 Bohr magnetons per cell

Entry 3:
A plane-wave DFT calculation with PBE was carried out for a relaxed TbLu2O crystal.

Unit cell a=3.1539 b=3.1539 c=8.4945 alpha=90.00 beta=90.00 gamma=90.00
Closest atoms and distances in Å follow each position.
Fractional coordinates of all 4 atoms:
Lu: 0.0000 0.0000 0.8191  4 O 2.71
Lu: 0.0000 0.0000 0.1809  4 O 2.71
Tb: 0.5000 0.5000 0.5000  4 Tb 3.15, 8 Lu 3.51
O: 0.5000 0.5000 0.0000  8 Lu 2.71

Properties
total energy = -5.4656 eV/atom
space-group type = P4/mmm
ρ = 10.31 g/cm3
energy above the most stable polymorph in this dataset = 380 meV/atom
total magnetic moment = 0.00 Bohr magnetons per cell

Entry 4:
A plane-wave DFT calculation with PBE was carried out for a relaxed Tb3Lu5O12 crystal.

Unit cell a=11.4681 b=11.4681 c=11.4681 alpha=109.47 beta=109.47 gamma=109.47
Closest atoms and distances in Å follow each position.
Fractional coordinates of all 80 atoms:
Lu: 0.1250 0.3750 0.2500  4 O 2.06
Lu: 0.0000 0.5000 0.0000  6 O 2.21
Lu: 0.0000 0.0000 0.0000  6 O 2.21
Lu: 0.3750 0.2500 0.1250  4 O 2.06
Lu: 0.5000 0.0000 0.5000  6 O 2.21
Lu: 0.5000 0.5000 0.0000  6 O 2.21
Lu: 0.1250 0.7500 0.3750  4 O 2.06
Lu: 0.7500 0.1250 0.8750  4 O 2.06
Lu: 0.7500 0.6250 0.3750  4 O 2.06
Lu: 0.3750 0.1250 0.7500  4 O 2.06
Lu: 0.6250 0.8750 0.2500  4 O 2.06
Lu: 0.5000 0.5000 0.5000  6 O 2.21
Lu: 0.5000 0.0000 0.0000  6 O 2.21
Lu: 0.0000 0.0000 0.5000  6 O 2.21
Lu: 0.2500 0.3750 0.6250  4 O 2.06
Lu: 0.2500 0.8750 0.1250  4 O 2.06
Lu: 0.0000 0.5000 0.5000  6 O 2.21
Lu: 0.8750 0.2500 0.6250  4 O 2.06
Lu: 0.6250 0.7500 0.8750  4 O 2.06
Lu: 0.8750 0.6250 0.7500  4 O 2.06
Tb: 0.7500 0.3750 0.1250  8 O 2.49-2.50
Tb: 0.8750 0.7500 0.1250  8 O 2.49-2.50
Tb: 0.3750 0.7500 0.6250  8 O 2.49-2.50
Tb: 0.2500 0.1250 0.3750  8 O 2.49-2.50
Tb: 0.8750 0.1250 0.2500  8 O 2.49-2.50
Tb: 0.3750 0.6250 0.2500  8 O 2.49-2.50
Tb: 0.6250 0.3750 0.7500  8 O 2.49-2.50
Tb: 0.1250 0.8750 0.7500  8 O 2.49-2.50
Tb: 0.7500 0.8750 0.6250  8 O 2.49-2.50
Tb: 0.6250 0.2500 0.3750  8 O 2.49-2.50
Tb: 0.1250 0.2500 0.8750  8 O 2.49-2.50
Tb: 0.2500 0.6250 0.8750  8 O 2.49-2.50
O: 0.7171 0.1301 0.0419  2 Lu 2.06-2.21
O: 0.3248 0.5419 0.4118  2 Lu 2.06-2.21
O: 0.9581 0.3699 0.2829  2 Lu 2.06-2.21
O: 0.5419 0.2171 0.1301  2 Lu 2.06-2.21
O: 0.5870 0.7171 0.6752  2 Lu 2.06-2.21
O: 0.9581 0.5882 0.1752  2 Lu 2.06-2.21
O: 0.3248 0.7829 0.4130  2 Lu 2.06-2.21
O: 0.0882 0.9130 0.1301  2 Lu 2.06-2.21
O: 0.5882 0.9581 0.6752  2 Lu 2.06-2.21
O: 0.7171 0.5870 0.1752  2 Lu 2.06-2.21
O: 0.7829 0.4581 0.3699  2 Lu 2.06-2.21
O: 0.8248 0.9118 0.0419  2 Lu 2.06-2.21
O: 0.1301 0.7171 0.5419  2 Lu 2.06-2.21
O: 0.3699 0.4118 0.0870  2 Lu 2.06-2.21
O: 0.0870 0.9118 0.3699  2 Lu 2.06-2.21
O: 0.4130 0.1301 0.5882  2 Lu 2.06-2.21
O: 0.0870 0.1752 0.2171  2 Lu 2.06-2.21
O: 0.4581 0.6752 0.0882  2 Lu 2.06-2.21
O: 0.8248 0.9130 0.2829  2 Lu 2.06-2.21
O: 0.1301 0.4130 0.0882  2 Lu 2.06-2.21
O: 0.3699 0.9581 0.7829  2 Lu 2.06-2.21
O: 0.5882 0.6301 0.4130  2 Lu 2.06-2.21
O: 0.9118 0.8248 0.5419  2 Lu 2.06-2.21
O: 0.7829 0.3248 0.9130  2 Lu 2.06-2.21
O: 0.4118 0.3699 0.5870  2 Lu 2.06-2.21
O: 0.0882 0.1752 0.4581  2 Lu 2.06-2.21
O: 0.2171 0.6752 0.0870  2 Lu 2.06-2.21
O: 0.1752 0.0870 0.7171  2 Lu 2.06-2.21
O: 0.6301 0.0419 0.2171  2 Lu 2.06-2.21
O: 0.8699 0.5870 0.9118  2 Lu 2.06-2.21
O: 0.5419 0.3248 0.9118  2 Lu 2.06-2.21
O: 0.5870 0.8699 0.4118  2 Lu 2.06-2.21
O: 0.9130 0.8248 0.7829  2 Lu 2.06-2.21
O: 0.9130 0.0882 0.6301  2 Lu 2.06-2.21
O: 0.8699 0.2829 0.4581  2 Lu 2.06-2.21
O: 0.1752 0.0882 0.9581  2 Lu 2.06-2.21
O: 0.6301 0.5882 0.9130  2 Lu 2.06-2.21
O: 0.4118 0.0419 0.3248  2 Lu 2.06-2.21
O: 0.2829 0.4130 0.8248  2 Lu 2.06-2.21
O: 0.2171 0.5419 0.6301  2 Lu 2.06-2.21
O: 0.9118 0.0870 0.8699  2 Lu 2.06-2.21
O: 0.6752 0.2171 0.5870  2 Lu 2.06-2.21
O: 0.4581 0.7829 0.8699  2 Lu 2.06-2.21
O: 0.0419 0.4118 0.8248  2 Lu 2.06-2.21
O: 0.4130 0.2829 0.3248  2 Lu 2.06-2.21
O: 0.0419 0.6301 0.7171  2 Lu 2.06-2.21
O: 0.6752 0.4581 0.5882  2 Lu 2.06-2.21
O: 0.2829 0.8699 0.9581  2 Lu 2.06-2.21

Properties
total energy = -8.2571 eV/atom
space-group type = Ia-3d
ρ = 8.83 g/cm3
total magnetic moment = 0.00 Bohr magnetons per cell

Entry 5:
A plane-wave DFT calculation with PBE was carried out for a relaxed Lu2TcO crystal.

Unit cell a=3.1563 b=3.1563 c=8.3364 alpha=79.09 beta=79.09 gamma=60.00
Closest atoms and distances in Å follow each position.
Fractional coordinates of all 4 atoms:
Lu: 0.1074 0.1074 0.6779  3 O 2.33
Lu: 0.8926 0.8926 0.3221  3 O 2.33
Tc: 0.0000 0.0000 0.0000  2 Lu 2.62
O: 0.5000 0.5000 0.5000  6 Lu 2.33

Properties
total energy = -6.9186 eV/atom
space-group type = R-3m
ρ = 10.98 g/cm3
total magnetic moment = 0.80 Bohr magnetons per cell

Entry 6:
A plane-wave DFT calculation with PBE was carried out for a relaxed Lu6TeO12 crystal.

Unit cell a=6.3473 b=6.3473 c=6.3473 alpha=98.81 beta=98.81 gamma=98.81
Closest atoms and distances in Å follow each position.
Fractional coordinates of all 19 atoms:
Lu: 0.8550 0.6806 0.3905  6 O 2.15-2.36
Lu: 0.6095 0.1450 0.3194  6 O 2.15-2.36
Lu: 0.6806 0.3905 0.8550  6 O 2.15-2.36
Lu: 0.3194 0.6095 0.1450  6 O 2.15-2.36
Lu: 0.3905 0.8550 0.6806  6 O 2.15-2.36
Lu: 0.1450 0.3194 0.6095  6 O 2.15-2.36
Te: 0.0000 0.0000 0.0000  6 O 1.96
O: 0.9624 0.0768 0.3020  1 Te 1.96
O: 0.9232 0.6980 0.0376  1 Te 1.96
O: 0.8226 0.4089 0.5709  4 Lu 2.15-2.24
O: 0.6980 0.0376 0.9232  1 Te 1.96
O: 0.5911 0.4291 0.1774  4 Lu 2.15-2.24
O: 0.5709 0.8226 0.4089  4 Lu 2.15-2.24
O: 0.4291 0.1774 0.5911  4 Lu 2.15-2.24
O: 0.4089 0.5709 0.8226  4 Lu 2.15-2.24
O: 0.3020 0.9624 0.0768  1 Te 1.96
O: 0.1774 0.5911 0.4291  4 Lu 2.15-2.24
O: 0.0768 0.3020 0.9624  1 Te 1.96
O: 0.0376 0.9232 0.6980  1 Te 1.96

Properties
total energy = -7.9354 eV/atom
space-group type = R-3
ρ = 9.26 g/cm3
total magnetic moment = 0.00 Bohr magnetons per cell

Look up the total energy of the fifth one.
-6.9186 eV/atom

Among the records above, which one has the highest ρ?
Lu2TcO

Which value of total magnetic moment does entry 4 give?
0.00 Bohr magnetons per cell